# 1
## Re2Cl6O (PBE)

Data for a geometry-optimized Re2Cl6O structure.

Lattice parameters (Å, degrees): 7.9225 12.1547 13.6262 90.00 91.77 90.00
Space group C2/c (No. 15)
Asymmetric unit:
1 Re 0.1435 0.0535 0.2299
2 Cl 0.1541 0.1845 0.1135
3 Cl 0.2134 0.4359 0.3732
4 Cl 0.2140 0.3772 0.6433
5 O 0.0000 0.0711 0.7500

Output
The calculation puts the total energy at -46.3 eV per formula unit. The crystal system is monoclinic. The uncorrected formation energy is -5.37 eV/f.u.

# 2
## Na5Tl8In (PBE)

Data for a geometry-optimized Na5Tl8In structure.

Lattice parameters (Å, degrees): 9.2642 9.2642 9.7588 90.00 90.00 90.00
Space group I-4 (No. 82)
Asymmetric unit:
1 Na 0.0000 0.0000 0.0000
2 Na 0.1220 0.2809 0.6677
3 Tl 0.0724 0.1737 0.3401
4 Tl 0.0900 0.3289 0.9949
5 In 0.0000 0.5000 0.2500

Output
The calculation puts the total energy at -28.8 eV per formula unit. The crystal system is tetragonal. As for the calculated formation energy: -0.041 eV per atom.

# 3
## Ac8C3Br3N (PBE)

Data for a geometry-optimized Ac8C3Br3N structure.

Lattice parameters (Å, degrees): 13.8593 8.0072 9.1777 90.00 120.19 90.00
Space group C2/m (No. 12)
Asymmetric unit:
1 Ac 0.0210 0.2502 0.3129
2 Ac 0.2292 0.0000 0.6874
3 Ac 0.2296 0.5000 0.6887
4 C 0.0000 0.5000 0.5000
5 C 0.2500 0.2500 0.5000
6 Br 0.0000 0.0000 0.0000
7 Br 0.2500 0.2500 0.0000
8 N 0.0000 0.0000 0.5000

Output
The calculation puts the total energy at -84.1 eV per formula unit. The crystal system is monoclinic. The uncorrected formation energy is -10.22 eV/f.u.

# 4
## ThPa2Te4 (PBE)

Data for a geometry-optimized ThPa2Te4 structure.

Lattice parameters (Å, degrees): 4.2054 13.6570 15.6385 90.00 90.00 90.00
Space group Cmcm (No. 63)
Asymmetric unit:
1 Th 0.0000 0.1003 0.2500
2 Pa 0.0000 0.3482 0.0585
3 Te 0.0000 0.0000 0.0000
4 Te 0.0000 0.2921 0.6329
5 Te 0.0000 0.4265 0.2500

Output
The calculation puts the total energy at -44.4 eV per formula unit. The crystal system is orthorhombic. The uncorrected formation energy is -5.40 eV/f.u.

# 5
## Cs3Tl2Br6 (PBE)

Data for a geometry-optimized Cs3Tl2Br6 structure.

Lattice parameters (Å, degrees): 6.0204 6.0204 28.3111 90.00 90.00 90.00
Space group I4/mmm (No. 139)
Asymmetric unit:
1 Cs 0.0000 0.0000 0.0000
2 Cs 0.0000 0.0000 0.1746
3 Tl 0.0000 0.0000 0.4041
4 Br 0.0000 0.0000 0.3010
5 Br 0.0000 0.5000 0.0827

Output
The calculation puts the total energy at -31.5 eV per formula unit. The crystal system is tetragonal. The uncorrected formation energy is -14.16 eV/f.u.

# 6
## TlTe2W (PBE)

Data for a geometry-optimized TlTe2W structure.

Lattice parameters (Å, degrees): 3.4057 5.2003 5.4027 90.00 90.00 90.00
Space group Pmmm (No. 47)
Asymmetric unit:
1 Tl 0.0000 0.0000 0.0000
2 Te 0.0000 0.5000 0.5000
3 Te 0.5000 0.5000 0.0000
4 W 0.5000 0.0000 0.5000

Output
The calculation puts the total energy at -17.3 eV per formula unit. The crystal system is orthorhombic. The uncorrected formation energy is 4.28 eV/f.u.

Which formula does entry 3 have?
Ac8C3Br3N